No. 1
# LaMg2TcAg | Alexandria | PBE-GGA | optimized geometry
data_LaMg2TcAg
_chemical_formula_sum 'La1 Mg2 Tc1 Ag1'
_space_group_name_H-M_alt 'P 1'
_space_group_IT_number 1
_space_group_name_Hall 'P 1'
_cell_length_a 4.982
_cell_length_b 5.183
_cell_length_c 4.982
_cell_angle_alpha 90.00
_cell_angle_beta 90.00
_cell_angle_gamma 90.00
loop_
_atom_site_label
_atom_site_fract_x
_atom_site_fract_y
_atom_site_fract_z
_atom_site_occupancy
Ag1 0.000 0.500 0.000 1
La1 0.500 0.500 0.500 1
Mg1 0.000 0.000 0.500 1
Mg2 0.500 0.000 0.000 1
Tc1 0.000 0.000 0.000 1
# **Total energy**: -3.7755 eV/atom
# **Fermi-level density of states**: 5.33 states/eV/cell
# **SG**: P4/mmm, No. 123
# **Excess energy over the best structure of this formula in the dataset**: 0.0 meV/atom
# **Magnetic moment**: 0.0000 μB/atom


No. 2
# CePmB12 | Alexandria | PBE-GGA | optimized geometry
data_CePmB12
_chemical_formula_sum 'Ce1 Pm1 B12'
_space_group_name_H-M_alt 'P 1'
_space_group_IT_number 1
_space_group_name_Hall 'P 1'
_cell_length_a 4.122
_cell_length_b 4.122
_cell_length_c 8.246
_cell_angle_alpha 90.00
_cell_angle_beta 90.00
_cell_angle_gamma 90.00
loop_
_atom_site_label
_atom_site_fract_x
_atom_site_fract_y
_atom_site_fract_z
_atom_site_occupancy
B1 0.500 0.801 0.750 1
B2 0.500 0.500 0.599 1
B3 0.801 0.500 0.250 1
B4 0.500 0.801 0.250 1
B5 0.500 0.500 0.401 1
B6 0.199 0.500 0.750 1
B7 0.500 0.199 0.750 1
B8 0.500 0.500 0.100 1
B9 0.500 0.199 0.250 1
B10 0.199 0.500 0.250 1
B11 0.500 0.500 0.900 1
B12 0.801 0.500 0.750 1
Pm1 0.000 0.000 0.500 1
Ce1 0.000 0.000 0.000 1
# **Total energy**: -6.9773 eV/atom
# **Fermi-level density of states**: 5.68 states/eV/cell
# **SG**: P4/mmm, No. 123
# **Magnetic moment**: 0.0654 μB/atom


No. 3
# Tl2NiAs | Alexandria | PBE-GGA | optimized geometry
data_Tl2NiAs
_chemical_formula_sum 'Tl2 Ni1 As1'
_space_group_name_H-M_alt 'P 1'
_space_group_IT_number 1
_space_group_name_Hall 'P 1'
_cell_length_a 7.195
_cell_length_b 7.195
_cell_length_c 7.195
_cell_angle_alpha 153.51
_cell_angle_beta 144.35
_cell_angle_gamma 44.95
loop_
_atom_site_label
_atom_site_fract_x
_atom_site_fract_y
_atom_site_fract_z
_atom_site_occupancy
Tl1 0.041 0.041 0.000 1
Tl2 0.741 0.241 0.500 1
Ni1 0.298 0.798 0.500 1
As1 0.420 0.420 0.000 1
# **Total energy**: -3.6897 eV/atom
# **Fermi-level density of states**: 2.32 states/eV/cell
# **SG**: Imm2, No. 44
# **Excess energy over the best structure of this formula in the dataset**: 183.0 meV/atom
# **Magnetic moment**: 0.0000 μB/atom


Q: What is the Fermi-level density of states in the third record?
A: 2.32 states/eV/cell


Q: Look up the magnetic moment of the second one.
A: 0.0654 μB/atom


Q: Which value of Fermi-level density of states does entry 3 give?
A: 2.32 states/eV/cell